1.
A plane-wave DFT calculation with GGA-PBE was carried out for a geometry-optimized Cs6K2I structure.

Cell: 10.050 12.464 14.258 Å, 90.00 90.00 97.51°
Fractional coordinates of all 18 atoms:
Cs 0.102 0.810 0.040
Cs 0.165 0.435 0.236
Cs 0.177 0.028 0.357
Cs 0.323 0.472 0.857
Cs 0.335 0.065 0.736
Cs 0.398 0.690 0.540
Cs 0.898 0.190 0.960
Cs 0.835 0.565 0.764
Cs 0.823 0.972 0.643
Cs 0.677 0.528 0.143
Cs 0.665 0.935 0.264
Cs 0.602 0.310 0.460
K 0.082 0.337 0.566
K 0.418 0.163 0.066
K 0.582 0.837 0.934
K 0.918 0.663 0.434
I 0.500 0.000 0.500
I 0.000 0.500 0.000

Values from the calculation:
Final energy: -23.23 eV/cell
Formation energy without anion corrections: -0.306 eV per atom
ρ: 1880 kg/m3



2.
A plane-wave DFT calculation with GGA-PBE was carried out for a geometry-optimized Pr5Tm5Th2 structure.

Cell: 5.058 10.796 8.072 Å, 98.32 71.74 76.45°
Fractional coordinates of all 12 atoms:
Pr 0.668 0.252 0.412
Pr 0.996 0.254 0.755
Pr 0.004 0.746 0.245
Pr 0.332 0.748 0.588
Pr 0.000 0.000 0.000
Tm 0.000 0.500 0.500
Tm 0.671 0.744 0.915
Tm 0.335 0.998 0.333
Tm 0.665 0.002 0.667
Tm 0.329 0.256 0.085
Th 0.329 0.502 0.839
Th 0.671 0.498 0.161

Values from the calculation:
Final energy: -60.66 eV/cell
ΔH_f (0 K): 0.036 eV/atom
ρ: 8455 kg/m3



3.
A plane-wave DFT calculation with GGA-PBE was carried out for a geometry-optimized Mg6SnHg5 structure.

Cell: 4.988 7.206 8.472 Å, 115.17 106.31 90.00°
Fractional coordinates of all 12 atoms:
Mg 0.831 0.574 0.661
Mg 0.831 0.087 0.661
Mg 0.500 0.738 0.000
Mg 0.500 0.262 0.000
Mg 0.169 0.913 0.339
Mg 0.169 0.426 0.339
Sn 0.000 0.000 0.000
Hg 0.664 0.163 0.327
Hg 0.331 0.332 0.664
Hg 0.000 0.500 0.000
Hg 0.669 0.668 0.336
Hg 0.336 0.837 0.673

Values from the calculation:
Final energy: -17.55 eV/cell
ΔE to the lowest computed polymorph: 0 meV/atom
ΔH_f (0 K): -0.206 eV/atom
ρ: 8033 kg/m3



4.
A plane-wave DFT calculation with GGA-PBE was carried out for a geometry-optimized Nd2Zn5Ir2Rh structure.

Cell: 3.763 9.862 9.862 Å, 90.00 90.00 90.00°
Fractional coordinates of all 20 atoms:
Nd 0.000 0.675 0.175
Nd 0.000 0.325 0.825
Nd 0.000 0.175 0.325
Nd 0.000 0.825 0.675
Zn 0.500 0.190 0.056
Zn 0.500 0.810 0.944
Zn 0.500 0.056 0.810
Zn 0.500 0.690 0.444
Zn 0.500 0.944 0.190
Zn 0.500 0.310 0.556
Zn 0.500 0.556 0.690
Zn 0.500 0.444 0.310
Zn 0.500 0.500 0.000
Zn 0.500 0.000 0.500
Ir 0.000 0.126 0.626
Ir 0.000 0.874 0.374
Ir 0.000 0.626 0.874
Ir 0.000 0.374 0.126
Rh 0.000 0.000 0.000
Rh 0.000 0.500 0.500

Values from the calculation:
Final energy: -88.54 eV/cell
ΔH_f (0 K): -0.329 eV/atom
ρ: 10008 kg/m3